Entry 1:
A plane-wave DFT calculation with GGA-PBE was carried out for an optimized crystal structure of Cs2RbCaF5.

abc: 4.4720 6.6868 14.1001
angles: 90.00 90.00 90.00
Space group Immm (No. 71)
Inequivalent atoms, fractional coordinates:
1 Cs 0.0000 0.0000 0.2159 [4 per cell]
2 Rb 0.0000 0.5000 0.0000 [2 per cell]
3 Ca 0.0000 0.5000 0.5000 [2 per cell]
4 F 0.0000 0.0000 0.0000 [2 per cell]
5 F 0.0000 0.2610 0.3838 [8 per cell]

Calculated values
Spin magnetization   0.0231 μB/atom
Formation energy without anion corrections   -3075.4 meV per atom

Entry 2:
A plane-wave DFT calculation with GGA-PBE was carried out for an optimized crystal structure of GeBiO2.

abc: 3.2700 3.2700 20.6044
angles: 90.00 90.00 120.00
Space group R-3m (No. 166, hexagonal axes)
Inequivalent atoms, fractional coordinates:
1 Ge 0.0000 0.0000 0.0000 [3 per cell]
2 Bi 0.0000 0.0000 0.5000 [3 per cell]
3 O 0.0000 0.0000 0.3833 [6 per cell]

Calculated values
Spin magnetization   0.0000 μB/atom
Energy above the lowest structure with this stoichiometry   0.000 eV/atom
Formation energy without anion corrections   -802.6 meV per atom

Entry 3:
A plane-wave DFT calculation with GGA-PBE was carried out for an optimized crystal structure of NiHgP2Cl.

abc: 4.9508 4.9508 5.3511
angles: 90.00 90.00 90.00
Space group P4/mmm (No. 123)
Inequivalent atoms, fractional coordinates:
1 Ni 0.0000 0.0000 0.0000 [1 per cell]
2 Hg 0.5000 0.5000 0.5000 [1 per cell]
3 P 0.0000 0.5000 0.5000 [2 per cell]
4 Cl 0.5000 0.5000 0.0000 [1 per cell]

Calculated values
Spin magnetization   0.1681 μB/atom
Energy above the lowest structure with this stoichiometry   1.046 eV/atom
Formation energy without anion corrections   1456.3 meV per atom

Entry 4:
A plane-wave DFT calculation with GGA-PBE was carried out for an optimized crystal structure of Ca4In3Au.

abc: 3.7829 3.7829 15.4051
angles: 90.00 90.00 90.00
Space group P4/mmm (No. 123)
Inequivalent atoms, fractional coordinates:
1 Ca 0.0000 0.0000 0.1127 [2 per cell]
2 Ca 0.0000 0.0000 0.3722 [2 per cell]
3 In 0.5000 0.5000 0.2459 [2 per cell]
4 In 0.5000 0.5000 0.5000 [1 per cell]
5 Au 0.5000 0.5000 0.0000 [1 per cell]

Calculated values
Spin magnetization   0.0000 μB/atom
Formation energy   -533 meV per atom

Entry 5:
A plane-wave DFT calculation with GGA-PBE was carried out for an optimized crystal structure of NpMn2Rh5.

abc: 4.0735 4.0735 14.6501
angles: 90.00 90.00 90.00
Space group I4/mmm (No. 139)
Inequivalent atoms, fractional coordinates:
1 Np 0.0000 0.0000 0.0000 [2 per cell]
2 Mn 0.0000 0.0000 0.2508 [4 per cell]
3 Rh 0.0000 0.0000 0.5000 [2 per cell]
4 Rh 0.0000 0.5000 0.1339 [8 per cell]

Calculated values
Spin magnetization   1.1706 μB/atom
Formation energy   -262 meV per atom

Entry 6:
A plane-wave DFT calculation with GGA-PBE was carried out for an optimized crystal structure of Dy3MgZn.

abc: 5.1457 19.8108 5.1393
angles: 90.00 90.00 90.00
Space group Cmcm (No. 63)
Inequivalent atoms, fractional coordinates:
1 Dy 0.0000 0.0618 0.2500 [4 per cell]
2 Dy 0.0000 0.2495 0.2500 [4 per cell]
3 Dy 0.0000 0.4353 0.2500 [4 per cell]
4 Mg 0.0000 0.1566 0.7500 [4 per cell]
5 Zn 0.0000 0.3399 0.7500 [4 per cell]

Calculated values
Spin magnetization   0.0001 μB/atom
Formation energy   -132 meV per atom

Entry 7:
A plane-wave DFT calculation with GGA-PBE was carried out for an optimized crystal structure of Ac4NdY6.

abc: 7.2131 7.2131 16.3755
angles: 90.00 90.00 90.00
Space group I-42m (No. 121)
Inequivalent atoms, fractional coordinates:
1 Ac 0.1968 0.1968 0.3195 [8 per cell]
2 Nd 0.0000 0.0000 0.5000 [2 per cell]
3 Y 0.0000 0.5000 0.0000 [4 per cell]
4 Y 0.1644 0.1644 0.0993 [8 per cell]

Calculated values
Spin magnetization   0.0000 μB/atom
Formation energy   294 meV per atom

Entry 8:
A plane-wave DFT calculation with GGA-PBE was carried out for an optimized crystal structure of CeTeAs.

abc: 4.4585 4.4585 10.8871
angles: 90.00 90.00 120.00
Space group P-3m1 (No. 164)
Inequivalent atoms, fractional coordinates:
1 Ce 0.0000 0.0000 0.1809 [2 per cell]
2 Te 0.3333 0.6667 0.3422 [2 per cell]
3 As 0.3333 0.6667 0.9887 [2 per cell]

Calculated values
Spin magnetization   0.1053 μB/atom
Formation energy without anion corrections   -939.6 meV per atom

Entry 9:
A plane-wave DFT calculation with GGA-PBE was carried out for an optimized crystal structure of Ca3Ac6Sm.

abc: 21.6355 21.6355 4.1267
angles: 90.00 90.00 120.00
Space group R3m (No. 160, hexagonal axes)
Inequivalent atoms, fractional coordinates:
1 Ca 0.0725 0.1449 0.0000 [9 per cell]
2 Ac 0.0243 0.5122 0.2355 [9 per cell]
3 Ac 0.1887 0.0943 0.4537 [9 per cell]
4 Sm 0.0000 0.0000 0.5046 [3 per cell]

Calculated values
Spin magnetization   0.0000 μB/atom
Formation energy   602 meV per atom

Entry 10:
A plane-wave DFT calculation with GGA-PBE was carried out for an optimized crystal structure of YbPt.

abc: 7.2382 4.3846 5.6643
angles: 90.00 90.00 90.00
Space group Pnma (No. 62)
Inequivalent atoms, fractional coordinates:
1 Yb 0.1806 0.2500 0.1350 [4 per cell]
2 Pt 0.0400 0.2500 0.6474 [4 per cell]

Calculated values
Spin magnetization   0.1502 μB/atom
Formation energy   -1050 meV per atom

Entry 11:
A plane-wave DFT calculation with GGA-PBE was carried out for an optimized crystal structure of Y2WAu.

abc: 3.3582 3.3582 28.3282
angles: 90.00 90.00 120.00
Space group R-3m (No. 166, hexagonal axes)
Inequivalent atoms, fractional coordinates:
1 Y 0.0000 0.0000 0.2489 [6 per cell]
2 W 0.0000 0.0000 0.5000 [3 per cell]
3 Au 0.0000 0.0000 0.0000 [3 per cell]

Calculated values
Spin magnetization   0.0862 μB/atom
Energy above the lowest structure with this stoichiometry   0.279 eV/atom
Formation energy   242 meV per atom

Entry 12:
A plane-wave DFT calculation with GGA-PBE was carried out for an optimized crystal structure of NdRuAu.

abc: 10.0640 5.6884 4.9804
angles: 90.00 118.94 90.00
Space group C2/m (No. 12)
Inequivalent atoms, fractional coordinates:
1 Nd 0.1259 0.0000 0.3760 [4 per cell]
2 Ru 0.0469 0.5000 0.2950 [4 per cell]
3 Au 0.2500 0.2500 0.0000 [4 per cell]

Calculated values
Spin magnetization   0.0000 μB/atom
Formation energy   -75 meV per atom

Entry 13:
A plane-wave DFT calculation with GGA-PBE was carried out for an optimized crystal structure of SmAgBr.

abc: 4.0827 14.7595 5.1384
angles: 90.00 90.00 90.00
Space group Cmcm (No. 63)
Inequivalent atoms, fractional coordinates:
1 Sm 0.0000 0.1123 0.2500 [4 per cell]
2 Ag 0.0000 0.4598 0.2500 [4 per cell]
3 Br 0.0000 0.2249 0.7500 [4 per cell]

Calculated values
Spin magnetization   0.0000 μB/atom
Formation energy without anion corrections   -802.1 meV per atom

Entry 14:
A plane-wave DFT calculation with GGA-PBE was carried out for an optimized crystal structure of Li2CdSnF8.

abc: 6.8359 6.7145 6.8887
angles: 90.00 90.12 90.00
Space group C2/m (No. 12)
Inequivalent atoms, fractional coordinates:
1 Li 0.0007 0.0000 0.2204 [4 per cell]
2 Cd 0.0000 0.5000 0.0000 [2 per cell]
3 Sn 0.0000 0.5000 0.5000 [2 per cell]
4 F 0.0001 0.2973 0.2817 [8 per cell]
5 F 0.1884 0.0000 0.9999 [4 per cell]
6 F 0.2110 0.0000 0.4993 [4 per cell]

Calculated values
Spin magnetization   0.0000 μB/atom
Formation energy without anion corrections   -2560.7 meV per atom

Entry 15:
A plane-wave DFT calculation with GGA-PBE was carried out for an optimized crystal structure of TiAgS2Cl.

abc: 5.0402 5.0402 4.5265
angles: 90.00 90.00 90.00
Space group P4/mmm (No. 123)
Inequivalent atoms, fractional coordinates:
1 Ti 0.0000 0.0000 0.0000 [1 per cell]
2 Ag 0.5000 0.5000 0.0000 [1 per cell]
3 S 0.0000 0.5000 0.5000 [2 per cell]
4 Cl 0.5000 0.5000 0.5000 [1 per cell]

Calculated values
Spin magnetization   0.1029 μB/atom
Energy above the lowest structure with this stoichiometry   1.476 eV/atom
Formation energy without anion corrections   919.1 meV per atom

Entry 16:
A plane-wave DFT calculation with GGA-PBE was carried out for an optimized crystal structure of PuTh2ReN4.

abc: 3.4058 12.0723 12.0664
angles: 90.00 90.00 90.00
Space group Cmcm (No. 63)
Inequivalent atoms, fractional coordinates:
1 Pu 0.0000 0.1126 0.2500 [4 per cell]
2 Th 0.0000 0.3670 0.0502 [8 per cell]
3 Re 0.0000 0.1482 0.7500 [4 per cell]
4 N 0.0000 0.0000 0.0000 [4 per cell]
5 N 0.0000 0.2788 0.6349 [8 per cell]
6 N 0.0000 0.4608 0.2500 [4 per cell]

Calculated values
Spin magnetization   0.5505 μB/atom
Formation energy without anion corrections   -933.7 meV per atom

Entry 17:
A plane-wave DFT calculation with GGA-PBE was carried out for an optimized crystal structure of CuPdN2O.

abc: 3.7273 3.7273 3.7257
angles: 90.00 90.00 90.00
Space group P4/mmm (No. 123)
Inequivalent atoms, fractional coordinates:
1 Cu 0.0000 0.0000 0.0000 [1 per cell]
2 Pd 0.5000 0.5000 0.5000 [1 per cell]
3 N 0.0000 0.5000 0.0000 [2 per cell]
4 O 0.0000 0.0000 0.5000 [1 per cell]

Calculated values
Spin magnetization   0.0001 μB/atom
Formation energy without anion corrections   1544.0 meV per atom

Entry 18:
A plane-wave DFT calculation with GGA-PBE was carried out for an optimized crystal structure of Ag5S2F2.

abc: 9.9929 5.1990 7.4042
angles: 90.00 116.95 90.00
Space group C2/m (No. 12)
Inequivalent atoms, fractional coordinates:
1 Ag 0.0000 0.0000 0.0000 [2 per cell]
2 Ag 0.1183 0.0000 0.4328 [4 per cell]
3 Ag 0.1452 0.5000 0.7929 [4 per cell]
4 S 0.1500 0.0000 0.8189 [4 per cell]
5 F 0.1295 0.5000 0.4422 [4 per cell]

Calculated values
Spin magnetization   0.0000 μB/atom
Formation energy without anion corrections   -470.0 meV per atom

Entry 19:
A plane-wave DFT calculation with GGA-PBE was carried out for an optimized crystal structure of TlNiAg2.

abc: 3.1157 3.1157 7.7504
angles: 90.00 90.00 90.00
Space group P4/mmm (No. 123)
Inequivalent atoms, fractional coordinates:
1 Tl 0.0000 0.0000 0.0000 [1 per cell]
2 Ni 0.0000 0.0000 0.5000 [1 per cell]
3 Ag 0.5000 0.5000 0.3040 [2 per cell]

Calculated values
Spin magnetization   0.0001 μB/atom
Energy above the lowest structure with this stoichiometry   0.066 eV/atom
Formation energy   273 meV per atom

Entry 20:
A plane-wave DFT calculation with GGA-PBE was carried out for an optimized crystal structure of TaSbIr.

abc: 3.1390 3.1390 11.8179
angles: 90.00 90.00 90.00
Space group I4mm (No. 107)
Inequivalent atoms, fractional coordinates:
1 Ta 0.0000 0.0000 0.0000 [2 per cell]
2 Sb 0.0000 0.0000 0.3151 [2 per cell]
3 Ir 0.0000 0.0000 0.6226 [2 per cell]

Calculated values
Spin magnetization   0.0000 μB/atom
Formation energy without anion corrections   -51.3 meV per atom

Entry 21:
A plane-wave DFT calculation with GGA-PBE was carried out for an optimized crystal structure of NaCuIr2.

abc: 3.6926 3.6926 19.1704
angles: 90.00 90.00 90.00
Space group I-42d (No. 122)
Inequivalent atoms, fractional coordinates:
1 Na 0.0000 0.0000 0.0000 [4 per cell]
2 Cu 0.0000 0.0000 0.5000 [4 per cell]
3 Ir 0.2381 0.2500 0.6250 [8 per cell]

Calculated values
Spin magnetization   0.0000 μB/atom
Energy above the lowest structure with this stoichiometry   0.000 eV/atom
Formation energy   706 meV per atom

Entry 22:
A plane-wave DFT calculation with GGA-PBE was carried out for an optimized crystal structure of Zn2AsW2.

abc: 6.3855 6.3855 4.1855
angles: 90.00 90.00 90.00
Space group P4/mbm (No. 127)
Inequivalent atoms, fractional coordinates:
1 Zn 0.1537 0.3463 0.0000 [4 per cell]
2 As 0.0000 0.0000 0.5000 [2 per cell]
3 W 0.1402 0.6402 0.5000 [4 per cell]

Calculated values
Spin magnetization   0.0000 μB/atom
Energy above the lowest structure with this stoichiometry   0.000 eV/atom
Formation energy   348 meV per atom

Entry 23:
A plane-wave DFT calculation with GGA-PBE was carried out for an optimized crystal structure of BPdCl3.

abc: 4.4141 4.4141 4.4141
angles: 90.00 90.00 90.00
Space group Pm-3m (No. 221)
Inequivalent atoms, fractional coordinates:
1 B 0.0000 0.0000 0.0000 [1 per cell]
2 Pd 0.5000 0.5000 0.5000 [1 per cell]
3 Cl 0.0000 0.0000 0.5000 [3 per cell]

Calculated values
Spin magnetization   0.1539 μB/atom
Energy above the lowest structure with this stoichiometry   0.000 eV/atom
Formation energy without anion corrections   527.1 meV per atom

Entry 24:
A plane-wave DFT calculation with GGA-PBE was carried out for an optimized crystal structure of ZnCuRe2.

abc: 3.0851 4.2128 8.7816
angles: 90.00 90.00 90.00
Space group Immm (No. 71)
Inequivalent atoms, fractional coordinates:
1 Zn 0.0000 0.0000 0.0000 [2 per cell]
2 Cu 0.0000 0.0000 0.5000 [2 per cell]
3 Re 0.0000 0.5000 0.2477 [4 per cell]

Calculated values
Spin magnetization   0.0000 μB/atom
Energy above the lowest structure with this stoichiometry   0.258 eV/atom
Formation energy   317 meV per atom

Entry 25:
A plane-wave DFT calculation with GGA-PBE was carried out for an optimized crystal structure of FeNi2PtSe.

abc: 4.2741 4.2741 4.3923
angles: 90.00 90.00 90.00
Space group P4/mmm (No. 123)
Inequivalent atoms, fractional coordinates:
1 Fe 0.0000 0.0000 0.0000 [1 per cell]
2 Ni 0.0000 0.5000 0.5000 [2 per cell]
3 Pt 0.5000 0.5000 0.0000 [1 per cell]
4 Se 0.0000 0.0000 0.5000 [1 per cell]

Calculated values
Spin magnetization   0.6842 μB/atom
Formation energy without anion corrections   550.2 meV per atom